(1)
DFT (PBE) results for a relaxed structure of ZrAl2FeSb.

Output
Raw formation energy (meV per atom): 232
Calculated volume (A^3/atom): 19.69
SG: P4/mmm, No. 123

a = 4.436 Å, b = 4.436 Å, c = 5.004 Å
α = 90.00°, β = 90.00°, γ = 90.00°
Element x y z (fractional)
Zr1 0.000 0.000 0.000
Al1 0.000 0.500 0.500
Al2 0.500 0.000 0.500
Fe1 0.500 0.500 0.500
Sb1 0.500 0.500 0.000

=====

(2)
DFT (PBE) results for a relaxed structure of ScAlFe2.

Output
ΔE_f (meV/atom): -200
Calculated volume (A^3/atom): 14.25
SG: Pmmm, No. 47

a = 3.101 Å, b = 3.189 Å, c = 5.766 Å
α = 90.00°, β = 90.00°, γ = 90.00°
Element x y z (fractional)
Sc1 0.000 0.000 0.000
Al1 0.000 0.000 0.500
Fe1 0.500 0.500 0.293
Fe2 0.500 0.500 0.707

=====

(3)
DFT (PBE) results for a relaxed structure of ScAl2Fe.

Output
ΔE_f (meV/atom): 43
Calculated volume (A^3/atom): 16.51
SG: R3m, No. 160

a = 2.965 Å, b = 2.965 Å, c = 26.030 Å
α = 90.00°, β = 90.00°, γ = 120.00°
Element x y z (fractional)
Sc1 0.000 0.000 0.000
Sc2 0.333 0.667 0.667
Sc3 0.667 0.333 0.333
Al1 0.000 0.000 0.235
Al2 0.000 0.000 0.479
Al3 0.333 0.667 0.146
Al4 0.333 0.667 0.902
Al5 0.667 0.333 0.569
Al6 0.667 0.333 0.812
Fe1 0.000 0.000 0.742
Fe2 0.333 0.667 0.409
Fe3 0.667 0.333 0.076

=====

Question: What is the calculated volume in the second record?
Answer: 14.25 A^3/atom

=====

What did the third record say?
DFT (PBE) results for a relaxed structure of ScAl2Fe.

Output
ΔE_f (meV/atom): 43
Calculated volume (A^3/atom): 16.51
SG: R3m, No. 160

a = 2.965 Å, b = 2.965 Å, c = 26.030 Å
α = 90.00°, β = 90.00°, γ = 120.00°
Element x y z (fractional)
Sc1 0.000 0.000 0.000
Sc2 0.333 0.667 0.667
Sc3 0.667 0.333 0.333
Al1 0.000 0.000 0.235
Al2 0.000 0.000 0.479
Al3 0.333 0.667 0.146
Al4 0.333 0.667 0.902
Al5 0.667 0.333 0.569
Al6 0.667 0.333 0.812
Fe1 0.000 0.000 0.742
Fe2 0.333 0.667 0.409
Fe3 0.667 0.333 0.076

=====

Question: Among the records above, which one has the lowest calculated volume?
Answer: ScAlFe2